# Rb2PrBe2Se4, relaxed, DFT PBE
data_Rb2PrBe2Se4
_chemical_formula_sum 'Rb4 Pr2 Be4 Se8'
_cell_length_a 15.771
_cell_length_b 3.922
_cell_length_c 8.564
_cell_angle_alpha 90.00
_cell_angle_beta 112.29
_cell_angle_gamma 90.00
_symmetry_space_group_name_H-M 'C 1 2/m 1'
_symmetry_Int_Tables_number 12
loop_
_symmetry_equiv_pos_as_xyz
'x,y,z'
'-x,-y,-z'
'-x,y,-z'
'x,-y,z'
'x+1/2,y+1/2,z'
'-x+1/2,-y+1/2,-z'
'-x+1/2,y+1/2,-z'
'x+1/2,-y+1/2,z'
loop_
_atom_site_label
_atom_site_type_symbol
_atom_site_fract_x
_atom_site_fract_y
_atom_site_fract_z
Rb1 Rb 0.129 0.000 0.047
Pr1 Pr 0.000 0.000 0.500
Be1 Be 0.171 0.500 0.471
Se1 Se 0.035 0.500 0.262
Se2 Se 0.209 0.000 0.636
# calculated total energy	-4.1871	eV/atom
# crystal system	monoclinic



# PrBe2Rh, relaxed, DFT PBE
data_PrBe2Rh
_chemical_formula_sum 'Pr3 Be6 Rh3'
_cell_length_a 3.8992
_cell_length_b 3.8992
_cell_length_c 15.3510
_cell_angle_alpha 90.00
_cell_angle_beta 90.00
_cell_angle_gamma 120.00
_symmetry_space_group_name_H-M 'R -3 m'
_symmetry_Int_Tables_number 166
_symmetry_space_group_name_Hall '-R 3 2"'
loop_
_atom_site_label
_atom_site_type_symbol
_atom_site_fract_x
_atom_site_fract_y
_atom_site_fract_z
Pr1 Pr 0.0000 0.0000 0.0000
Be1 Be 0.0000 0.0000 0.1933
Rh1 Rh 0.0000 0.0000 0.5000
# crystal system	trigonal
# ΔE_f	-0.395	eV/atom



# PrBeRh, relaxed, DFT PBE
data_PrBeRh
_chemical_formula_sum 'Pr2 Be2 Rh2'
_cell_length_a 3.9942
_cell_length_b 3.9942
_cell_length_c 8.3914
_cell_angle_alpha 90.00
_cell_angle_beta 90.00
_cell_angle_gamma 120.00
_symmetry_space_group_name_H-M 'P 63/m m c'
_symmetry_Int_Tables_number 194
_symmetry_space_group_name_Hall '-P 6c 2c'
loop_
_atom_site_label
_atom_site_type_symbol
_atom_site_fract_x
_atom_site_fract_y
_atom_site_fract_z
Pr1 Pr 0.0000 0.0000 0.0000
Be1 Be 0.3333 0.6667 0.2500
Rh1 Rh 0.3333 0.6667 0.7500
# offset from the most stable computed form	0	meV per atom
# crystal system	hexagonal
# ΔE_f	-0.504	eV/atom



# PrBeRh3, relaxed, DFT PBE
data_PrBeRh3
_chemical_formula_sum 'Pr1 Be1 Rh3'
_cell_length_a 4.328
_cell_length_b 4.328
_cell_length_c 4.328
_cell_angle_alpha 90.00
_cell_angle_beta 90.00
_cell_angle_gamma 90.00
_symmetry_space_group_name_H-M 'P m -3 m'
_symmetry_Int_Tables_number 221
_symmetry_space_group_name_Hall '-P 4 2 3'
loop_
_atom_site_label
_atom_site_type_symbol
_atom_site_fract_x
_atom_site_fract_y
_atom_site_fract_z
Pr1 Pr 0.000 0.000 0.000
Be1 Be 0.500 0.500 0.500
Rh1 Rh 0.000 0.500 0.500
# crystal system	cubic
# ΔE_f	-0.502	eV/atom



# Pr2BeRh2, relaxed, DFT PBE
data_Pr2BeRh2
_chemical_formula_sum 'Pr8 Be4 Rh8'
_cell_length_a 10.348
_cell_length_b 5.608
_cell_length_c 7.281
_cell_angle_alpha 90.00
_cell_angle_beta 102.15
_cell_angle_gamma 90.00
_symmetry_space_group_name_H-M 'C 1 2/c 1'
_symmetry_Int_Tables_number 15
loop_
_symmetry_equiv_pos_as_xyz
'x,y,z'
'-x,-y,-z'
'-x,y,-z+1/2'
'x,-y,z+1/2'
'x+1/2,y+1/2,z'
'-x+1/2,-y+1/2,-z'
'-x+1/2,y+1/2,-z+1/2'
'x+1/2,-y+1/2,z+1/2'
loop_
_atom_site_label
_atom_site_type_symbol
_atom_site_fract_x
_atom_site_fract_y
_atom_site_fract_z
Pr1 Pr 0.147 0.130 0.150
Be1 Be 0.000 0.405 0.750
Rh1 Rh 0.125 0.378 0.511
# crystal system	monoclinic
# ΔE_f	-0.556	eV/atom



# PrBeRh, relaxed, DFT PBE
data_PrBeRh
_chemical_formula_sum 'Pr4 Be4 Rh4'
_cell_length_a 5.776
_cell_length_b 5.743
_cell_length_c 7.479
_cell_angle_alpha 90.00
_cell_angle_beta 113.12
_cell_angle_gamma 90.00
_symmetry_space_group_name_H-M 'P 1 21/c 1'
_symmetry_Int_Tables_number 14
loop_
_symmetry_equiv_pos_as_xyz
'x,y,z'
'-x,-y,-z'
'-x,y+1/2,-z+1/2'
'x,-y+1/2,z+1/2'
loop_
_atom_site_label
_atom_site_type_symbol
_atom_site_fract_x
_atom_site_fract_y
_atom_site_fract_z
Pr1 Pr 0.196 0.137 0.376
Be1 Be 0.270 0.639 0.543
Rh1 Rh 0.385 0.598 0.289
# offset from the most stable computed form	48	meV per atom
# crystal system	monoclinic
# ΔE_f	-0.456	eV/atom



# PrBeRh, relaxed, DFT PBE
data_PrBeRh
_chemical_formula_sum 'Pr4 Be4 Rh4'
_cell_length_a 6.165
_cell_length_b 6.165
_cell_length_c 6.165
_cell_angle_alpha 90.00
_cell_angle_beta 90.00
_cell_angle_gamma 90.00
_symmetry_space_group_name_H-M 'P 21 3'
_symmetry_Int_Tables_number 198
_symmetry_space_group_name_Hall 'P 2ac 2ab 3'
loop_
_atom_site_label
_atom_site_type_symbol
_atom_site_fract_x
_atom_site_fract_y
_atom_site_fract_z
Pr1 Pr 0.103 0.103 0.103
Be1 Be 0.096 0.596 0.904
Rh1 Rh 0.176 0.324 0.676
# offset from the most stable computed form	59	meV per atom
# crystal system	cubic
# ΔE_f	-0.444	eV/atom



# PrBe3Rh, relaxed, DFT PBE
data_PrBe3Rh
_chemical_formula_sum 'Pr1 Be3 Rh1'
_cell_length_a 4.309
_cell_length_b 4.309
_cell_length_c 4.309
_cell_angle_alpha 90.00
_cell_angle_beta 90.00
_cell_angle_gamma 90.00
_symmetry_space_group_name_H-M 'P m -3 m'
_symmetry_Int_Tables_number 221
_symmetry_space_group_name_Hall '-P 4 2 3'
loop_
_atom_site_label
_atom_site_type_symbol
_atom_site_fract_x
_atom_site_fract_y
_atom_site_fract_z
Pr1 Pr 0.000 0.000 0.000
Be1 Be 0.000 0.500 0.500
Rh1 Rh 0.500 0.500 0.500
# crystal system	cubic
# ΔE_f	-0.242	eV/atom



# PrBe3Rh3, relaxed, DFT PBE
data_PrBe3Rh3
_chemical_formula_sum 'Pr2 Be6 Rh6'
_cell_length_a 6.059
_cell_length_b 6.059
_cell_length_c 6.059
_cell_angle_alpha 90.00
_cell_angle_beta 90.00
_cell_angle_gamma 90.00
_symmetry_space_group_name_H-M 'P m -3 n'
_symmetry_Int_Tables_number 223
_symmetry_space_group_name_Hall '-P 4n 2 3'
loop_
_atom_site_label
_atom_site_type_symbol
_atom_site_fract_x
_atom_site_fract_y
_atom_site_fract_z
Pr1 Pr 0.000 0.000 0.000
Be1 Be 0.000 0.250 0.500
Rh1 Rh 0.000 0.500 0.250
# crystal system	cubic
# ΔE_f	-0.282	eV/atom



# PrBeRh, relaxed, DFT PBE
data_PrBeRh
_chemical_formula_sum 'Pr1 Be1 Rh1'
_cell_length_a 3.9696
_cell_length_b 3.9696
_cell_length_c 4.2403
_cell_angle_alpha 90.00
_cell_angle_beta 90.00
_cell_angle_gamma 120.00
_symmetry_space_group_name_H-M 'P -6 m 2'
_symmetry_Int_Tables_number 187
_symmetry_space_group_name_Hall 'P -6 2'
loop_
_atom_site_label
_atom_site_type_symbol
_atom_site_fract_x
_atom_site_fract_y
_atom_site_fract_z
Pr1 Pr 0.0000 0.0000 0.0000
Be1 Be 0.6667 0.3333 0.5000
Rh1 Rh 0.3333 0.6667 0.5000
# offset from the most stable computed form	7	meV per atom
# crystal system	hexagonal
# ΔE_f	-0.497	eV/atom



# Pr3BeRh2, relaxed, DFT PBE
data_Pr3BeRh2
_chemical_formula_sum 'Pr12 Be4 Rh8'
_cell_length_a 11.600
_cell_length_b 4.017
_cell_length_c 12.140
_cell_angle_alpha 90.00
_cell_angle_beta 90.00
_cell_angle_gamma 90.00
_symmetry_space_group_name_H-M 'P n m a'
_symmetry_Int_Tables_number 62
loop_
_symmetry_equiv_pos_as_xyz
'x,y,z'
'-x,-y,-z'
'-x+1/2,-y,z+1/2'
'x+1/2,y,-z+1/2'
'x+1/2,-y+1/2,-z+1/2'
'-x+1/2,y+1/2,z+1/2'
'-x,y+1/2,-z'
'x,-y+1/2,z'
loop_
_atom_site_label
_atom_site_type_symbol
_atom_site_fract_x
_atom_site_fract_y
_atom_site_fract_z
Pr1 Pr 0.067 0.250 0.120
Pr2 Pr 0.125 0.750 0.551
Pr3 Pr 0.199 0.250 0.797
Be1 Be 0.127 0.250 0.365
Rh1 Rh 0.038 0.750 0.319
Rh2 Rh 0.194 0.750 0.971
# crystal system	orthorhombic
# ΔE_f	-0.508	eV/atom



# Pr2BeSbRh6, relaxed, DFT PBE
data_Pr2BeSbRh6
_chemical_formula_sum 'Pr4 Be2 Sb2 Rh12'
_cell_length_a 6.444
_cell_length_b 6.463
_cell_length_c 9.127
_cell_angle_alpha 90.00
_cell_angle_beta 90.00
_cell_angle_gamma 90.00
_symmetry_space_group_name_H-M 'I m m m'
_symmetry_Int_Tables_number 71
_symmetry_space_group_name_Hall '-I 2 2'
loop_
_atom_site_label
_atom_site_type_symbol
_atom_site_fract_x
_atom_site_fract_y
_atom_site_fract_z
Pr1 Pr 0.000 0.000 0.250
Be1 Be 0.000 0.500 0.000
Sb1 Sb 0.000 0.500 0.500
Rh1 Rh 0.000 0.500 0.229
Rh2 Rh 0.229 0.270 0.000
# calculated total energy	-6.5243	eV/atom
# crystal system	orthorhombic